Entry 1:
Density functional theory data (GGA-PBE) for a relaxed RbZrRe2H crystal.

a b c (Å): 3.9752 3.9752 5.1488
angles (deg): 90.00 90.00 90.00
Space group P4/mmm (No. 123)
Unique sites:
Rb 0.0000 0.0000 0.0000
Zr 0.5000 0.5000 0.0000
Re 0.0000 0.5000 0.5000
H 0.0000 0.0000 0.5000

Computed properties:
Calculated volume = 81.36 Å³/cell
Electronic total energy = -31.01 eV per cell

---

Entry 2:
Density functional theory data (GGA-PBE) for a relaxed TbCeTl3 crystal.

a b c (Å): 7.7685 7.7685 5.9993
angles (deg): 90.00 90.00 120.00
Space group P6_3/mmc (No. 194)
Unique sites:
Tb 0.3333 0.6667 0.2500
Ce 0.0000 0.0000 0.0000
Tl 0.2034 0.4069 0.7500

Computed properties:
Calculated formation energy = 0.9 kcal/mol of atoms
Calculated volume = 313.56 Å³/cell
Electronic total energy = -34.93 eV per cell

---

Entry 3:
Density functional theory data (GGA-PBE) for a relaxed MnTc2Rh crystal.

a b c (Å): 5.4223 5.4368 7.4983
angles (deg): 90.00 90.00 90.00
Space group F222 (No. 22)
Unique sites:
Mn 0.0000 0.0000 0.0000
Tc 0.0000 0.0000 0.5000
Tc 0.2500 0.2500 0.2500
Rh 0.2500 0.2500 0.7500

Computed properties:
Energy above the most stable polymorph in this dataset = 0.025 eV per atom
Calculated formation energy = 0.0 kcal/mol of atoms
Calculated volume = 221.05 Å³/cell
Electronic total energy = -149.03 eV per cell